Entry 1:
The following is a DFT calculation (meta-GGA SCAN) of YCd2Rh at its PBEsol-relaxed geometry.

```
data_YCd2Rh
_cell_length_a 6.785
_cell_length_b 6.785
_cell_length_c 6.785
_cell_angle_alpha 90.00
_cell_angle_beta 90.00
_cell_angle_gamma 90.00
_symmetry_space_group_name_H-M 'F -4 3 m'
_symmetry_Int_Tables_number 216
_symmetry_space_group_name_Hall 'F -4 2 3'
loop_
_atom_site_label
_atom_site_type_symbol
_atom_site_fract_x
_atom_site_fract_y
_atom_site_fract_z
Y1 Y 0.000 0.000 0.000
Cd1 Cd 0.000 0.000 0.500
Cd2 Cd 0.250 0.250 0.250
Rh1 Rh 0.250 0.250 0.750
```

* DFT total energy: -31.004 eV per atom
* total magnetization: 0.00 μB per cell
* D(E_F): 0.5425 states/eV/atom
* ΔE_f: -0.39 eV per atom

Entry 2:
The following is a DFT calculation (meta-GGA SCAN) of YCd2Rh at its PBEsol-relaxed geometry.

```
data_YCd2Rh
_cell_length_a 3.312
_cell_length_b 3.312
_cell_length_c 7.357
_cell_angle_alpha 90.00
_cell_angle_beta 90.00
_cell_angle_gamma 90.00
_symmetry_space_group_name_H-M 'P 4 m m'
_symmetry_Int_Tables_number 99
loop_
_symmetry_equiv_pos_as_xyz
'x,y,z'
'-y,x,z'
'-x,-y,z'
'y,-x,z'
'-x,y,z'
'y,x,z'
'x,-y,z'
'-y,-x,z'
loop_
_atom_site_label
_atom_site_type_symbol
_atom_site_fract_x
_atom_site_fract_y
_atom_site_fract_z
Y1 Y 0.000 0.000 0.000
Cd1 Cd 0.000 0.000 0.569
Cd2 Cd 0.500 0.500 0.317
Rh1 Rh 0.500 0.500 0.782
```

* DFT total energy: -31.039 eV per atom
* total magnetization: 0.00 μB per cell
* D(E_F): 0.5431 states/eV/atom
* ΔE_f: -0.43 eV per atom

Entry 3:
The following is a DFT calculation (meta-GGA SCAN) of YCd2Rh2 at its PBEsol-relaxed geometry.

```
data_YCd2Rh2
_cell_length_a 4.706
_cell_length_b 4.706
_cell_length_c 9.231
_cell_angle_alpha 90.00
_cell_angle_beta 90.00
_cell_angle_gamma 90.00
_symmetry_space_group_name_H-M 'I 4/m m m'
_symmetry_Int_Tables_number 139
_symmetry_space_group_name_Hall '-I 4 2'
loop_
_atom_site_label
_atom_site_type_symbol
_atom_site_fract_x
_atom_site_fract_y
_atom_site_fract_z
Y1 Y 0.000 0.000 0.000
Cd1 Cd 0.000 0.000 0.362
Rh1 Rh 0.000 0.500 0.250
```

* DFT total energy: -31.401 eV per atom
* total magnetization: 0.00 μB per cell
* D(E_F): 0.3079 states/eV/atom
* ΔE_f: -0.16 eV per atom

Entry 4:
The following is a DFT calculation (meta-GGA SCAN) of YCd2Rh at its PBEsol-relaxed geometry.

```
data_YCd2Rh
_cell_length_a 4.087
_cell_length_b 4.205
_cell_length_c 9.007
_cell_angle_alpha 90.00
_cell_angle_beta 90.00
_cell_angle_gamma 90.00
_symmetry_space_group_name_H-M 'I m m m'
_symmetry_Int_Tables_number 71
_symmetry_space_group_name_Hall '-I 2 2'
loop_
_atom_site_label
_atom_site_type_symbol
_atom_site_fract_x
_atom_site_fract_y
_atom_site_fract_z
Y1 Y 0.000 0.000 0.000
Cd1 Cd 0.000 0.500 0.247
Rh1 Rh 0.000 0.000 0.500
```

* DFT total energy: -31.082 eV per atom
* total magnetization: 0.00 μB per cell
* D(E_F): 0.3118 states/eV/atom
* ΔE_f: -0.47 eV per atom